# Y2BeHPd6

Y2BeHPd6 after structural relaxation (PBE, Alexandria).

Unit cell a=5.821 b=5.831 c=6.248 alpha=62.56 beta=62.91 gamma=60.27
Positions (direct):
Y: 0.240 0.240 0.284
Y: 0.760 0.760 0.716
Be: 0.500 0.500 0.500
H: 0.000 0.000 0.000
Pd: 0.237 0.742 0.779
Pd: 0.239 0.239 0.780
Pd: 0.256 0.763 0.221
Pd: 0.744 0.237 0.779
Pd: 0.761 0.761 0.220
Pd: 0.763 0.258 0.221

Properties
space-group type = P-1
total magnetic moment = 0.00 μB per cell
crystal system = triclinic
VASP energy = -5.851 eV per atom
volume = 156.18 Å³/cell


# Li2PuSi4

Li2PuSi4 after structural relaxation (PBE, Alexandria).

Unit cell a=9.085 b=9.085 c=9.085 alpha=25.50 beta=25.50 gamma=25.50
Positions (direct):
Li: 0.138 0.138 0.138
Li: 0.862 0.862 0.862
Pu: 0.000 0.000 0.000
Si: 0.243 0.243 0.243
Si: 0.398 0.398 0.398
Si: 0.602 0.602 0.602
Si: 0.757 0.757 0.757

Properties
space-group type = R-3m
total magnetic moment = 5.64 μB per cell
crystal system = trigonal
formation energy without anion corrections = -212.4 meV/atom
volume = 122.37 Å³/cell


# Pa2Al2ZnRh5

Pa2Al2ZnRh5 after structural relaxation (PBE, Alexandria).

Unit cell a=9.816 b=9.816 c=3.538 alpha=90.00 beta=90.00 gamma=90.00
Positions (direct):
Pa: 0.179 0.321 0.000
Pa: 0.321 0.821 0.000
Pa: 0.679 0.179 0.000
Pa: 0.821 0.679 0.000
Al: 0.120 0.620 0.000
Al: 0.380 0.120 0.000
Al: 0.620 0.880 0.000
Al: 0.880 0.380 0.000
Zn: 0.000 0.000 0.000
Zn: 0.500 0.500 0.000
Rh: 0.000 0.500 0.500
Rh: 0.079 0.796 0.500
Rh: 0.204 0.079 0.500
Rh: 0.296 0.579 0.500
Rh: 0.421 0.296 0.500
Rh: 0.500 0.000 0.500
Rh: 0.579 0.704 0.500
Rh: 0.704 0.421 0.500
Rh: 0.796 0.921 0.500
Rh: 0.921 0.204 0.500

Properties
formation enthalpy at 0 K = -0.63 eV per atom
space-group type = P4/mbm
total magnetic moment = 2.20 μB per cell
crystal system = tetragonal
volume = 340.86 Å³/cell


# PaAlCoCu

PaAlCoCu after structural relaxation (PBE, Alexandria).

Unit cell a=4.536 b=4.536 c=4.536 alpha=60.00 beta=60.00 gamma=60.00
Positions (direct):
Pa: 0.000 0.000 0.000
Al: 0.500 0.500 0.500
Co: 0.750 0.750 0.750
Cu: 0.250 0.250 0.250

Properties
formation enthalpy at 0 K = -0.21 eV per atom
space-group type = F-43m
total magnetic moment = 0.00 μB per cell
crystal system = cubic
volume = 65.99 Å³/cell


# NdInCu10

NdInCu10 after structural relaxation (PBE, Alexandria).

Unit cell a=4.120 b=5.012 c=8.709 alpha=90.00 beta=90.00 gamma=90.00
Positions (direct):
Nd: 0.000 0.000 0.000
In: 0.000 0.500 0.500
Cu: 0.000 0.000 0.344
Cu: 0.000 0.000 0.656
Cu: 0.000 0.500 0.183
Cu: 0.000 0.500 0.817
Cu: 0.500 0.000 0.500
Cu: 0.500 0.248 0.251
Cu: 0.500 0.248 0.749
Cu: 0.500 0.500 0.000
Cu: 0.500 0.752 0.251
Cu: 0.500 0.752 0.749

Properties
formation enthalpy at 0 K = -0.06 eV per atom
space-group type = Pmmm
total magnetic moment = 0.00 μB per cell
crystal system = orthorhombic
volume = 179.85 Å³/cell


# Rb2InNCl6

Rb2InNCl6 after structural relaxation (PBE, Alexandria).

Unit cell a=7.252 b=7.252 c=7.252 alpha=113.15 beta=113.15 gamma=102.34
Positions (direct):
Rb: 0.250 0.750 0.500
Rb: 0.750 0.250 0.500
In: 0.000 0.000 0.000
N: 0.500 0.500 0.000
Cl: 0.223 0.223 0.445
Cl: 0.223 0.777 0.000
Cl: 0.281 0.281 0.000
Cl: 0.719 0.719 0.000
Cl: 0.777 0.223 0.000
Cl: 0.777 0.777 0.555

Properties
space-group type = I4/mmm
total magnetic moment = 2.00 μB per cell
crystal system = tetragonal
formation energy without anion corrections = -778.8 meV/atom
volume = 290.26 Å³/cell


# DyCdPd

DyCdPd after structural relaxation (PBE, Alexandria).

Unit cell a=4.709 b=4.709 c=4.709 alpha=60.00 beta=60.00 gamma=60.00
Positions (direct):
Dy: 0.000 0.000 0.000
Cd: 0.500 0.500 0.500
Pd: 0.250 0.250 0.250

Properties
formation enthalpy at 0 K = -0.56 eV per atom
space-group type = F-43m
total magnetic moment = 0.00 μB per cell
crystal system = cubic
volume = 73.82 Å³/cell


# CsScI4

CsScI4 after structural relaxation (PBE, Alexandria).

Unit cell a=10.370 b=11.888 c=13.488 alpha=90.00 beta=125.04 gamma=90.00
Positions (direct):
Cs: 0.176 0.160 0.271
Cs: 0.176 0.340 0.771
Cs: 0.824 0.660 0.229
Cs: 0.824 0.840 0.729
Sc: 0.304 0.668 0.195
Sc: 0.304 0.832 0.695
Sc: 0.696 0.168 0.305
Sc: 0.696 0.332 0.805
I: 0.095 0.656 0.612
I: 0.095 0.844 0.112
I: 0.193 0.502 0.268
I: 0.193 0.998 0.768
I: 0.331 0.604 0.015
I: 0.331 0.896 0.515
I: 0.401 0.231 0.118
I: 0.401 0.269 0.618
I: 0.599 0.731 0.382
I: 0.599 0.769 0.882
I: 0.669 0.104 0.485
I: 0.669 0.396 0.985
I: 0.807 0.002 0.232
I: 0.807 0.498 0.732
I: 0.905 0.156 0.888
I: 0.905 0.344 0.388

Properties
offset from the most stable computed form = 0.023 eV per atom
space-group type = P2_1/c
total magnetic moment = 0.00 μB per cell
crystal system = monoclinic
formation energy without anion corrections = -1318.6 meV/atom
volume = 1361.37 Å³/cell


# NbAsRuBr2

NbAsRuBr2 after structural relaxation (PBE, Alexandria).

Unit cell a=5.119 b=5.119 c=5.110 alpha=90.00 beta=90.00 gamma=90.00
Positions (direct):
Nb: 0.000 0.000 0.000
As: 0.000 0.000 0.500
Ru: 0.500 0.500 0.500
Br: 0.000 0.500 0.000
Br: 0.500 0.000 0.000

Properties
offset from the most stable computed form = 0.000 eV per atom
space-group type = P4/mmm
total magnetic moment = 3.05 μB per cell
crystal system = tetragonal
formation energy without anion corrections = 873.7 meV/atom
volume = 133.88 Å³/cell


# BaSnAs2

BaSnAs2 after structural relaxation (PBE, Alexandria).

Unit cell a=6.746 b=6.746 c=6.746 alpha=106.49 beta=106.49 gamma=115.61
Positions (direct):
Ba: 0.250 0.250 0.000
Ba: 0.750 0.750 0.000
Sn: 0.250 0.750 0.500
Sn: 0.750 0.250 0.500
As: 0.178 0.678 0.855
As: 0.322 0.178 0.500
As: 0.678 0.822 0.500
As: 0.822 0.322 0.145

Properties
formation enthalpy at 0 K = -0.60 eV per atom
space-group type = I4/mcm
total magnetic moment = 0.00 μB per cell
crystal system = tetragonal
volume = 234.27 Å³/cell


# VSeN2Cl

VSeN2Cl after structural relaxation (PBE, Alexandria).

Unit cell a=3.846 b=3.846 c=4.657 alpha=90.00 beta=90.00 gamma=90.00
Positions (direct):
V: 0.000 0.000 0.000
Se: 0.500 0.500 0.000
N: 0.000 0.500 0.500
N: 0.500 0.000 0.500
Cl: 0.500 0.500 0.500

Properties
offset from the most stable computed form = 1.729 eV per atom
space-group type = P4/mmm
total magnetic moment = 0.00 μB per cell
crystal system = tetragonal
formation energy without anion corrections = 2169.9 meV/atom
volume = 68.88 Å³/cell


# CaCeAsPt

CaCeAsPt after structural relaxation (PBE, Alexandria).

Unit cell a=5.076 b=5.076 c=5.076 alpha=60.00 beta=60.00 gamma=60.00
Positions (direct):
Ca: 0.000 0.000 0.000
Ce: 0.500 0.500 0.500
As: 0.250 0.250 0.250
Pt: 0.750 0.750 0.750

Properties
formation enthalpy at 0 K = -1.00 eV per atom
space-group type = F-43m
total magnetic moment = 0.95 μB per cell
crystal system = cubic
volume = 92.48 Å³/cell


# LiSmErBi

LiSmErBi after structural relaxation (PBE, Alexandria).

Unit cell a=5.336 b=5.336 c=5.336 alpha=60.00 beta=60.00 gamma=60.00
Positions (direct):
Li: 0.000 0.000 0.000
Sm: 0.750 0.750 0.750
Er: 0.250 0.250 0.250
Bi: 0.500 0.500 0.500

Properties
formation enthalpy at 0 K = -0.30 eV per atom
space-group type = F-43m
total magnetic moment = 0.00 μB per cell
crystal system = cubic
volume = 107.46 Å³/cell


# BaCaSb3

BaCaSb3 after structural relaxation (PBE, Alexandria).

Unit cell a=6.113 b=6.113 c=6.113 alpha=90.00 beta=90.00 gamma=90.00
Positions (direct):
Ba: 0.000 0.000 0.000
Ca: 0.500 0.500 0.500
Sb: 0.000 0.000 0.500
Sb: 0.000 0.500 0.000
Sb: 0.500 0.000 0.000

Properties
offset from the most stable computed form = 0.660 eV per atom
space-group type = Pm-3m
total magnetic moment = 0.00 μB per cell
crystal system = cubic
formation energy without anion corrections = 419.3 meV/atom
volume = 228.42 Å³/cell


# Cd3ReSb

Cd3ReSb after structural relaxation (PBE, Alexandria).

Unit cell a=5.553 b=5.553 c=5.553 alpha=90.00 beta=90.00 gamma=90.00
Positions (direct):
Cd: 0.000 0.000 0.500
Cd: 0.000 0.500 0.000
Cd: 0.500 0.000 0.000
Re: 0.500 0.500 0.500
Sb: 0.000 0.000 0.000

Properties
offset from the most stable computed form = 0.452 eV per atom
space-group type = Pm-3m
total magnetic moment = 4.44 μB per cell
crystal system = cubic
formation energy without anion corrections = 1569.2 meV/atom
volume = 171.19 Å³/cell


# CaTaP2Ru

CaTaP2Ru after structural relaxation (PBE, Alexandria).

Unit cell a=6.616 b=6.616 c=6.616 alpha=145.36 beta=145.36 gamma=49.80
Positions (direct):
Ca: 0.000 0.000 0.000
Ta: 0.750 0.250 0.500
P: 0.374 0.374 0.000
P: 0.626 0.626 0.000
Ru: 0.250 0.750 0.500

Properties
formation enthalpy at 0 K = -0.73 eV per atom
space-group type = I-4m2
total magnetic moment = 0.00 μB per cell
crystal system = tetragonal
volume = 93.11 Å³/cell


# CeZrAs2O

CeZrAs2O after structural relaxation (PBE, Alexandria).

Unit cell a=3.873 b=3.873 c=13.411 alpha=90.00 beta=90.00 gamma=90.00
Positions (direct):
Ce: 0.250 0.250 0.096
Ce: 0.750 0.750 0.904
Zr: 0.250 0.250 0.597
Zr: 0.750 0.750 0.403
As: 0.250 0.250 0.386
As: 0.250 0.250 0.796
As: 0.750 0.750 0.204
As: 0.750 0.750 0.614
O: 0.250 0.750 0.000
O: 0.750 0.250 0.000

Properties
space-group type = P4/nmm
total magnetic moment = 0.00 μB per cell
crystal system = tetragonal
formation energy without anion corrections = -1742.3 meV/atom
volume = 201.18 Å³/cell


# Ce2SeCl2O

Ce2SeCl2O after structural relaxation (PBE, Alexandria).

Unit cell a=4.029 b=8.127 c=8.180 alpha=90.00 beta=90.00 gamma=90.00
Positions (direct):
Ce: 0.000 0.079 0.000
Ce: 0.000 0.921 0.500
Ce: 0.500 0.330 0.523
Ce: 0.500 0.670 0.023
Se: 0.500 0.059 0.263
Se: 0.500 0.941 0.763
Cl: 0.000 0.418 0.193
Cl: 0.000 0.582 0.693
Cl: 0.500 0.325 0.886
Cl: 0.500 0.675 0.386
O: 0.000 0.202 0.547
O: 0.000 0.798 0.047

Properties
space-group type = Pmc2_1
total magnetic moment = 3.90 μB per cell
crystal system = orthorhombic
formation energy without anion corrections = -2406.1 meV/atom
volume = 267.87 Å³/cell


# ZrTlAs3

ZrTlAs3 after structural relaxation (PBE, Alexandria).

Unit cell a=5.251 b=5.251 c=5.251 alpha=90.00 beta=90.00 gamma=90.00
Positions (direct):
Zr: 0.000 0.000 0.000
Tl: 0.500 0.500 0.500
As: 0.000 0.000 0.500
As: 0.000 0.500 0.000
As: 0.500 0.000 0.000

Properties
formation enthalpy at 0 K = 0.02 eV per atom
offset from the most stable computed form = 0.000 eV per atom
space-group type = Pm-3m
total magnetic moment = 0.00 μB per cell
crystal system = cubic
volume = 144.75 Å³/cell


# Pm6Er5Mg2

Pm6Er5Mg2 after structural relaxation (PBE, Alexandria).

Unit cell a=10.456 b=22.778 c=3.526 alpha=90.00 beta=90.00 gamma=90.00
Positions (direct):
Pm: 0.017 0.113 0.000
Pm: 0.145 0.383 0.000
Pm: 0.171 0.634 0.500
Pm: 0.329 0.134 0.500
Pm: 0.355 0.883 0.000
Pm: 0.483 0.613 0.000
Pm: 0.517 0.387 0.000
Pm: 0.645 0.117 0.000
Pm: 0.671 0.866 0.500
Pm: 0.829 0.366 0.500
Pm: 0.855 0.617 0.000
Pm: 0.983 0.887 0.000
Er: 0.000 0.500 0.500
Er: 0.080 0.250 0.500
Er: 0.165 0.995 0.500
Er: 0.335 0.495 0.500
Er: 0.420 0.750 0.500
Er: 0.500 0.000 0.500
Er: 0.580 0.250 0.500
Er: 0.665 0.505 0.500
Er: 0.835 0.005 0.500
Er: 0.920 0.750 0.500
Mg: 0.169 0.761 0.000
Mg: 0.331 0.261 0.000
Mg: 0.669 0.739 0.000
Mg: 0.831 0.239 0.000

Properties
formation enthalpy at 0 K = 0.13 eV per atom
space-group type = Pbam
total magnetic moment = 0.00 μB per cell
crystal system = orthorhombic
volume = 839.64 Å³/cell


# Li2MgGeOs

Li2MgGeOs after structural relaxation (PBE, Alexandria).

Unit cell a=4.666 b=4.666 c=4.939 alpha=90.00 beta=90.00 gamma=90.00
Positions (direct):
Li: 0.000 0.500 0.000
Li: 0.500 0.000 0.000
Mg: 0.000 0.000 0.500
Ge: 0.500 0.500 0.500
Os: 0.000 0.000 0.000

Properties
formation enthalpy at 0 K = 0.96 eV per atom
space-group type = P4/mmm
total magnetic moment = 0.07 μB per cell
crystal system = tetragonal
volume = 107.52 Å³/cell